MgNiPb2O6 | GGA+U | relaxed

a = 5.7649 Å, b = 5.7649 Å, c = 5.7649 Å
α = 56.48°, β = 56.48°, γ = 56.48°
Fractional coordinates of all 10 atoms:
Mg: 0.0000 0.0000 0.0000
Ni: 0.4961 0.4961 0.4961
Pb: 0.2852 0.2852 0.2852
Pb: 0.7868 0.7868 0.7868
O: 0.1140 0.3761 0.7066
O: 0.2093 0.8729 0.6143
O: 0.3761 0.7066 0.1140
O: 0.6143 0.2093 0.8729
O: 0.7066 0.1140 0.3761
O: 0.8729 0.6143 0.2093

Fermi-level density of states = 0.05 states/eV/f.u.
Raw total energy = -54.16 eV per cell